Run w
Y2AsPb2 (PBE, relaxed); crystal system = tetragonal; space group = P4/mbm
1.0
7.949 0.000 0.000
0.000 7.949 0.000
0.000 0.000 4.435
Y As Pb
4 2 4
Cartesian
1.355 2.620 0.000
2.620 6.594 0.000
5.329 1.355 0.000
6.594 5.329 0.000
0.000 0.000 2.217
3.975 3.975 2.217
1.094 5.068 2.217
2.881 1.094 2.217
5.068 6.856 2.217
6.856 2.881 2.217


Run x
Y2AsPb2 (PBE, relaxed); crystal system = tetragonal; space group = P4/mbm
1.0
7.604 0.000 0.000
0.000 7.604 0.000
0.000 0.000 4.918
Y As Pb
4 2 4
Cartesian
1.281 2.521 0.000
2.521 6.323 0.000
5.083 1.281 0.000
6.323 5.083 0.000
0.000 0.000 0.000
3.802 3.802 0.000
1.117 4.919 2.459
2.685 1.117 2.459
4.919 6.487 2.459
6.487 2.685 2.459


Which structure loses on stability? run w does.


Run w
Zn2AsPb2 (PBE, relaxed); crystal system = tetragonal; space group = P4/mbm
1.0
8.699 0.000 0.000
0.000 8.699 0.000
0.000 0.000 3.244
Zn As Pb
4 2 4
Cartesian
0.889 3.460 0.000
3.460 7.810 0.000
5.239 0.889 0.000
7.810 5.239 0.000
0.000 0.000 1.622
4.350 4.350 1.622
1.746 6.096 1.622
2.604 1.746 1.622
6.096 6.953 1.622
6.953 2.604 1.622


Run x
Zn2AsPb2 (PBE, relaxed); crystal system = tetragonal; space group = I4/mmm
1.0
-1.869 1.869 8.716
1.869 -1.869 8.716
1.869 1.869 -8.716
Zn As Pb
2 1 2
Cartesian
1.869 0.000 4.358
0.000 1.869 4.358
0.000 0.000 0.000
0.000 0.000 7.013
0.000 0.000 10.418


Which structure loses on stability? run w does.


Run w
ZnAs3Pb (PBE, relaxed); crystal system = cubic; space group = Pm-3m
1.0
4.939 0.000 0.000
0.000 4.939 0.000
0.000 0.000 4.939
Zn As Pb
1 3 1
Cartesian
0.000 0.000 0.000
0.000 0.000 2.470
0.000 2.470 0.000
2.470 0.000 0.000
2.470 2.470 2.470


Run x
ZnAs3Pb (PBE, relaxed); crystal system = cubic; space group = Pm-3m
1.0
5.451 0.000 0.000
0.000 5.451 0.000
0.000 0.000 5.451
Zn As Pb
1 3 1
Cartesian
0.000 0.000 0.000
0.000 2.725 2.725
2.725 0.000 2.725
2.725 2.725 0.000
2.725 2.725 2.725


Which structure loses on stability? run x does.


Run w
ZnAsPb (PBE, relaxed); crystal system = trigonal; space group = P3m1
1.0
4.133 0.000 0.000
-2.066 3.579 0.000
0.000 0.000 4.860
Zn As Pb
1 1 1
Cartesian
0.000 0.000 0.000
2.066 1.193 0.769
0.000 2.386 2.825


Run x
ZnAsPb (PBE, relaxed); crystal system = cubic; space group = F-43m
1.0
0.000 3.346 3.346
3.346 0.000 3.346
3.346 3.346 0.000
Zn As Pb
1 1 1
Cartesian
0.000 0.000 0.000
1.673 1.673 1.673
5.018 5.018 5.018


Run y
ZnAsPb (PBE, relaxed); crystal system = tetragonal; space group = I4mm
1.0
-1.774 1.774 5.590
1.774 -1.774 5.590
1.774 1.774 -5.590
Zn As Pb
1 1 1
Cartesian
0.000 0.000 0.000
0.000 0.000 6.353
0.000 0.000 3.285


Which structure loses on stability? run x does.


Run w
Zr2As2Pb (PBE, relaxed); crystal system = tetragonal; space group = I4/mmm
1.0
-2.541 2.541 4.433
2.541 -2.541 4.433
2.541 2.541 -4.433
Zr As Pb
2 2 1
Cartesian
2.541 0.000 2.217
0.000 2.541 2.217
0.000 0.000 1.244
0.000 0.000 7.622
0.000 0.000 4.433


Run x
Zr2As2Pb (PBE, relaxed); crystal system = tetragonal; space group = I4/mmm
1.0
-1.936 1.936 7.289
1.936 -1.936 7.289
1.936 1.936 -7.289
Zr As Pb
2 2 1
Cartesian
0.000 0.000 1.628
0.000 0.000 12.950
1.936 0.000 3.644
0.000 1.936 3.644
0.000 0.000 7.289


Run y
Zr2As2Pb (PBE, relaxed); crystal system = tetragonal; space group = P4/mbm
1.0
7.827 0.000 0.000
0.000 7.827 0.000
0.000 0.000 3.534
Zr As Pb
4 4 2
Cartesian
1.144 2.770 0.000
2.770 6.683 0.000
5.057 1.144 0.000
6.683 5.057 0.000
1.095 5.008 1.767
2.819 1.095 1.767
5.008 6.732 1.767
6.732 2.819 1.767
0.000 0.000 1.767
3.913 3.913 1.767


Which structure loses on stability? run x does.


Run w
ZrAs3Pb (PBE, relaxed); crystal system = cubic; space group = Pm-3m
1.0
5.220 0.000 0.000
0.000 5.220 0.000
0.000 0.000 5.220
Zr As Pb
1 3 1
Cartesian
0.000 0.000 0.000
0.000 2.610 2.610
2.610 0.000 2.610
2.610 2.610 0.000
2.610 2.610 2.610


Run x
ZrAs3Pb (PBE, relaxed); crystal system = cubic; space group = Pm-3m
1.0
5.216 0.000 0.000
0.000 5.216 0.000
0.000 0.000 5.216
Zr As Pb
1 3 1
Cartesian
0.000 0.000 0.000
0.000 0.000 2.608
0.000 2.608 0.000
2.608 0.000 0.000
2.608 2.608 2.608


Which structure loses on stability? run w does.


Run w
As4Pd (PBE, relaxed); crystal system = cubic; space group = Pm-3m
1.0
4.865 0.000 0.000
0.000 4.865 0.000
0.000 0.000 4.865
As Pd
4 1
Cartesian
0.000 0.000 0.000
0.000 2.432 2.432
2.432 0.000 2.432
2.432 2.432 0.000
2.432 2.432 2.432


Run x
As4Pd (PBE, relaxed); crystal system = monoclinic; space group = P2_1/c
1.0
5.363 0.000 0.000
0.000 5.327 0.000
-1.431 0.000 7.267
As Pd
8 2
Cartesian
0.071 0.862 3.109
-0.645 1.802 6.742
0.467 3.643 5.469
1.183 4.346 1.836
2.749 0.980 5.431
3.465 1.683 1.798
4.577 3.525 0.525
3.861 4.465 4.158
2.682 0.000 0.000
1.966 2.663 3.634


Which structure loses on stability? run w does.


Run w
As2Pd3 (PBE, relaxed); crystal system = trigonal; space group = R-3c
1.0
3.325 1.920 4.526
-3.325 1.920 4.526
0.000 -3.839 4.526
As Pd
4 6
Cartesian
0.000 0.000 1.437
0.000 0.000 5.352
0.000 0.000 8.227
0.000 0.000 12.142
-2.479 -0.455 5.658
-0.846 -2.374 7.921
1.633 -1.920 5.658
-1.633 1.920 7.921
0.846 2.374 5.658
2.479 0.455 7.921


Run x
As2Pd3 (PBE, relaxed); crystal system = trigonal; space group = R-3m
1.0
1.539 0.888 10.038
-1.539 0.888 10.038
0.000 -1.777 10.038
As Pd
2 3
Cartesian
0.000 0.000 2.976
0.000 0.000 27.138
0.000 0.000 8.906
0.000 0.000 15.057
0.000 0.000 21.208


Run y
As2Pd3 (PBE, relaxed); crystal system = orthorhombic; space group = Ibam
1.0
-3.176 5.194 2.590
3.176 -5.194 2.590
3.176 5.194 -2.590
As Pd
4 6
Cartesian
1.540 1.559 0.000
1.540 -1.559 2.590
1.636 6.753 0.000
1.636 3.635 2.590
3.992 1.162 0.000
0.000 0.000 1.295
0.816 4.032 0.000
2.360 1.162 2.590
0.000 0.000 3.885
-0.816 4.032 2.590


Which structure loses on stability? run x does.